! HoHfTaN3 GGA-PBE relaxed; values from VASP
&SYSTEM
  ibrav = 0, nat = 12, ntyp = 4
/
ATOMIC_SPECIES
Hf 178.49 Hf.upf
Ta 180.95 Ta.upf
Ho 164.93 Ho.upf
N 14.01 N.upf
ATOMIC_POSITIONS angstrom
Hf -5.962 -2.180 5.098
Ta -0.717 -5.195 2.234
Ho -1.077 -1.937 2.014
Ho -3.209 -4.097 3.991
N -0.604 -3.861 0.521
N -2.067 -4.453 6.198
Ta -3.569 -0.840 3.771
N -2.219 -1.581 -0.193
N -3.682 -2.174 5.484
N -0.840 -3.598 3.685
Hf 1.675 -3.855 0.907
N -3.446 -2.437 2.320
CELL_PARAMETERS angstrom
-2.004 -1.932 -1.636
3.180 -4.415 1.319
-5.463 0.312 6.322
! - Symmetry: P2_1/m, No. 11
! - D(E_F): 4.08 states/eV per cell
! - Total magnetization: 0.0 μB per cell
! - Formation energy without anion corrections: -1.55 eV/atom